Below is LaRhAu4 after structural relaxation, with properties calculated at the GGA-PBE level.

The structure belongs to space group F-43m (No. 216); the cell edges are 7.857, 7.857 and 7.857 Å and the angles 90.00°, 90.00° and 90.00°. The distinct sites, in fractional coordinates, are La at (0.000, 0.000, 0.000), Rh at (0.250, 0.250, 0.750) and Au at (0.124, 0.124, 0.376).

Its formation energy is -333 meV per atom. The calculation puts the final energy at -27.39 eV per formula unit.



Below is HoThNi2As2 after structural relaxation, with properties calculated at the GGA-PBE level.

The structure belongs to space group P-3m1 (No. 164); the cell edges are 4.0713, 4.0713 and 7.9329 Å and the angles 90.00°, 90.00° and 120.00°. The distinct sites, in fractional coordinates, are Ho at (0.0000, 0.0000, 0.0000), Th at (0.0000, 0.0000, 0.5000), Ni at (0.3333, 0.6667, 0.2619) and As at (0.3333, 0.6667, 0.7683).

Its formation energy is -1065 meV per atom. The calculation puts the final energy at -39.25 eV per formula unit.



Below is Ba2BeS3 after structural relaxation, with properties calculated at the GGA-PBE level.

The structure belongs to space group C2/c (No. 15); the cell edges are 6.605, 12.963 and 14.633 Å and the angles 90.00°, 92.42° and 90.00°. The distinct sites, in fractional coordinates, are Ba at (0.230, 0.197, 0.345), Ba at (0.246, 0.103, 0.926), Be at (0.236, 0.499, 0.834), S at (0.000, 0.012, 0.750), S at (0.000, 0.430, 0.250), S at (0.209, 0.337, 0.865) and S at (0.241, 0.096, 0.545).

For the raw formation energy, the calculation gives -1699 meV/atom. The calculation puts the final energy at -30.15 eV per formula unit.



Below is HfBr2Cl after structural relaxation, with properties calculated at the GGA-PBE level.

The structure belongs to space group I-42d (No. 122); the cell edges are 9.800, 9.800 and 5.002 Å and the angles 90.00°, 90.00° and 90.00°. The distinct sites, in fractional coordinates, are Hf at (0.000, 0.000, 0.000), Br at (0.098, 0.250, 0.125) and Cl at (0.000, 0.000, 0.500).

For the raw formation energy, the calculation gives -1105 meV/atom. The value obtained for the energy above the most stable polymorph in this dataset is 0 meV/atom. The calculation puts the final energy at -19.56 eV per formula unit.